(1)
NpVTcO6 | GGA+U | optimized geometry

Cell and atoms, written as POSCAR:
```
NpVTcO6
1.0
-0.854 -2.149 4.571
-1.973 -2.109 -4.231
7.931 -5.350 -1.032
Np V Tc O
2 2 2 12
Direct
0.000 0.000 0.000
0.000 0.000 0.500
0.333 0.667 0.250
0.667 0.333 0.750
0.667 0.333 0.250
0.333 0.667 0.750
0.661 0.661 0.133
0.000 0.339 0.133
0.339 0.000 0.633
0.000 0.661 0.867
0.339 0.339 0.367
0.000 0.661 0.367
0.661 0.000 0.867
0.661 0.000 0.367
0.000 0.339 0.633
0.339 0.000 0.133
0.661 0.661 0.633
0.339 0.339 0.867
```

Results
Spin magnetization, μB/cell: 2.0
Uncorrected energy, Ry per atom: -0.6509

(2)
NpV2TcO8 | GGA+U | optimized geometry

Cell and atoms, written as POSCAR:
```
NpV2TcO8
1.0
4.730 -0.066 -0.003
-0.036 4.729 -0.006
0.005 0.008 6.314
Np V Tc O
1 2 1 8
Direct
0.000 0.000 0.500
0.500 0.500 0.761
0.500 0.500 0.239
0.000 0.000 0.000
0.204 0.796 0.238
0.703 0.703 0.000
0.796 0.204 0.238
0.796 0.204 0.762
0.297 0.297 0.000
0.204 0.796 0.762
0.693 0.694 0.500
0.307 0.306 0.500
```

Results
Spin magnetization, μB/cell: 6.8
Uncorrected energy, Ry per atom: -0.6332